[1]
DFT (PBE) results for an optimized crystal structure of SbTe2As.

Computed properties:
E above lowest polymorph (kJ/mol of atoms): 21.8
ΔE_f (raw) (eV/atom): 0.2813
Volume (Å³ per cell): 223.8
DOS(E_F) (states/eV per atom): 0.452

Lattice parameters (Å, degrees): 3.8011 4.9625 11.8662 90.00 90.00 90.00
Space group Cmm2 (No. 35)
One atom of each set of equivalent atoms:
Sb: 0.0000 0.0000 0.0000
Te: 0.0000 0.0000 0.5752
Te: 0.0000 0.5000 0.2610
As: 0.0000 0.5000 0.8117

=====

[2]
DFT (PBE) results for an optimized crystal structure of BaAc3O.

Computed properties:
ΔE_f (raw) (eV/atom): -0.9222
Volume (Å³ per cell): 172.4
DOS(E_F) (states/eV per atom): 1.016

Lattice parameters (Å, degrees): 5.5653 5.5653 5.5653 90.00 90.00 90.00
Space group Pm-3m (No. 221)
One atom of each set of equivalent atoms:
Ba: 0.0000 0.0000 0.0000
Ac: 0.0000 0.5000 0.5000
O: 0.5000 0.5000 0.5000

=====

[3]
DFT (PBE) results for an optimized crystal structure of CdW2Br.

Computed properties:
E above lowest polymorph (kJ/mol of atoms): 0.2
ΔE_f (raw) (eV/atom): 0.3871
Volume (Å³ per cell): 88.9
DOS(E_F) (states/eV per atom): 0.480

Lattice parameters (Å, degrees): 3.3393 3.1565 8.4447 90.00 92.83 90.00
Space group Pm (No. 6)
One atom of each set of equivalent atoms:
Cd: 0.0000 0.0000 0.0000
W: 0.0901 0.0000 0.3856
W: 0.5250 0.5000 0.2279
Br: 0.1463 0.5000 0.6369

=====

[4]
DFT (PBE) results for an optimized crystal structure of Tb3Ho2In.

Computed properties:
E above lowest polymorph (kJ/mol of atoms): 35.2
ΔE_f (eV/atom): 0.20
Volume (Å³ per cell): 372.2
DOS(E_F) (states/eV per atom): 1.492

Lattice parameters (Å, degrees): 5.7239 6.4138 10.1370 90.00 90.00 90.00
Space group Immm (No. 71)
One atom of each set of equivalent atoms:
Tb: 0.0000 0.0000 0.0000
Tb: 0.0000 0.0000 0.3450
Ho: 0.0000 0.5000 0.3166
In: 0.0000 0.5000 0.0000

=====

[5]
DFT (PBE) results for an optimized crystal structure of AcRh2Pb.

Computed properties:
ΔE_f (eV/atom): -0.34
Volume (Å³ per cell): 88.7
DOS(E_F) (states/eV per atom): 0.449

Lattice parameters (Å, degrees): 4.7913 4.7913 3.8634 90.00 90.00 90.00
Space group P4/mmm (No. 123)
One atom of each set of equivalent atoms:
Ac: 0.0000 0.0000 0.0000
Rh: 0.0000 0.5000 0.5000
Pb: 0.5000 0.5000 0.0000

=====

[6]
DFT (PBE) results for an optimized crystal structure of PuZn2SnO8.

Computed properties:
ΔE_f (raw) (eV/atom): -1.4363
Volume (Å³ per cell): 303.8
DOS(E_F) (states/eV per atom): 0.409

Lattice parameters (Å, degrees): 6.5401 6.5401 7.1029 90.00 90.00 90.00
Space group I-4m2 (No. 119)
One atom of each set of equivalent atoms:
Pu: 0.0000 0.0000 0.0000
Zn: 0.0000 0.0000 0.5000
Zn: 0.0000 0.5000 0.2500
Sn: 0.0000 0.5000 0.7500
O: 0.0000 0.1890 0.7107
O: 0.0000 0.3004 0.0448

=====

[7]
DFT (PBE) results for an optimized crystal structure of RbWI2.

Computed properties:
E above lowest polymorph (kJ/mol of atoms): 54.9
ΔE_f (raw) (eV/atom): 1.0439
Volume (Å³ per cell): 443.3
DOS(E_F) (states/eV per atom): 0.647

Lattice parameters (Å, degrees): 7.6248 7.6248 7.6248 90.00 90.00 90.00
Space group Fm-3m (No. 225)
One atom of each set of equivalent atoms:
Rb: 0.0000 0.0000 0.0000
W: 0.0000 0.0000 0.5000
I: 0.2500 0.2500 0.2500

=====

[8]
DFT (PBE) results for an optimized crystal structure of Cs2SrNdBr6.

Computed properties:
ΔE_f (raw) (eV/atom): -1.7961
Volume (Å³ per cell): 844.9
DOS(E_F) (states/eV per atom): 0.490

Lattice parameters (Å, degrees): 8.3990 11.9129 8.4442 90.00 90.00 90.00
Space group Pmmn (No. 59, origin choice 2)
One atom of each set of equivalent atoms:
Cs: 0.2500 0.0005 0.2485
Sr: 0.2500 0.2500 0.7492
Nd: 0.2500 0.7500 0.7506
Br: 0.0027 0.7500 0.5035
Br: 0.0026 0.7500 0.9978
Br: 0.2500 0.5027 0.7508